{
  "formula": "YFePd3",
  "functional": "PBE",
  "state": "optimized geometry",
  "formation_enthalpy_0k_ev_per_atom": 0.99,
  "mass_density_g_cm3": 6.2,
  "relative_energy_mev_per_atom": 990,
  "magmom_total_mub_per_atom": 0.6299,
  "cell": [[4.980, 0.000, 0.000], [0.000, 4.980, 0.000], [0.000, 0.000, 4.980]],
  "species": ["Y", "Pd", "Pd", "Pd", "Fe"],
  "fractional_positions": [[0.000, 0.000, 0.000], [0.000, 0.500, 0.000], [0.500, 0.000, 0.000], [0.000, 0.000, 0.500], [0.500, 0.500, 0.500]]
}

{
  "formula": "ErTmGaGe",
  "functional": "PBE",
  "state": "optimized geometry",
  "formation_enthalpy_0k_ev_per_atom": -0.78,
  "mass_density_g_cm3": 8.8,
  "relative_energy_mev_per_atom": 0,
  "magmom_total_mub_per_atom": 0.0000,
  "cell": [[4.269, 0.000, 0.000], [0.000, 3.964, 0.000], [-2.135, 0.000, 5.326]],
  "species": ["Ga", "Er", "Tm", "Ge"],
  "fractional_positions": [[0.581, 0.500, 0.162], [0.139, 0.000, 0.279], [0.860, 0.500, 0.721], [0.419, 0.000, 0.839]]
}

{
  "formula": "NdGa7Ni2",
  "functional": "PBE",
  "state": "optimized geometry",
  "formation_enthalpy_0k_ev_per_atom": -0.12,
  "mass_density_g_cm3": 6.0,
  "magmom_total_mub_per_atom": 0.0000,
  "cell": [[4.184, 0.000, 0.000], [0.000, 7.559, -0.178], [0.000, -3.569, 6.665]],
  "species": ["Ga", "Ga", "Ga", "Ga", "Ga", "Ga", "Ga", "Ni", "Ni", "Nd"],
  "fractional_positions": [[0.500, 0.042, 0.339], [0.500, 0.661, 0.958], [0.000, 0.244, 0.756], [0.500, 0.339, 0.042], [0.500, 0.500, 0.500], [0.500, 0.958, 0.661], [0.000, 0.756, 0.244], [0.500, 0.677, 0.323], [0.500, 0.323, 0.677], [0.000, 0.000, 0.000]]
}

{
  "formula": "TiBi2Au2",
  "functional": "PBE",
  "state": "optimized geometry",
  "formation_enthalpy_0k_ev_per_atom": 0.06,
  "mass_density_g_cm3": 12.1,
  "magmom_total_mub_per_atom": 0.0043,
  "cell": [[7.429, 0.000, 0.000], [0.000, 7.429, 0.000], [0.000, 0.000, 4.261]],
  "species": ["Au", "Au", "Au", "Au", "Ti", "Ti", "Bi", "Bi", "Bi", "Bi"],
  "fractional_positions": [[0.867, 0.633, 0.000], [0.633, 0.133, 0.000], [0.367, 0.867, 0.000], [0.133, 0.367, 0.000], [0.500, 0.500, 0.000], [0.000, 0.000, 0.000], [0.823, 0.323, 0.500], [0.677, 0.823, 0.500], [0.323, 0.177, 0.500], [0.177, 0.677, 0.500]]
}